[1]
First-principles (PBE) data for crystalline Mg3SiPt2 at its relaxed geometry, as listed in the Alexandria database. Values from VASP.

Values from the calculation:
Total moment ... 0.000 μB per atom
SG ... P-1
Energy relative to the elements, uncorrected ... -0.6347 eV per atom
DFT total energy ... -4.35 eV per atom

Quantum ESPRESSO input file:
```
&SYSTEM
  ibrav = 0, nat = 6, ntyp = 3
/
ATOMIC_SPECIES
Mg 24.30 Mg.upf
Si 28.09 Si.upf
Pt 195.08 Pt.upf
CELL_PARAMETERS angstrom
3.487 0.003 -1.000
-0.335 4.085 -1.158
0.293 -0.065 7.480
ATOMIC_POSITIONS crystal
Mg 0.500 0.500 0.000
Mg 0.816 0.315 0.630
Mg 0.184 0.685 0.370
Si 0.000 0.000 0.000
Pt 0.384 0.882 0.764
Pt 0.616 0.118 0.236
```

[2]
First-principles (PBE) data for crystalline Ac2CdSb3Rh4 at its relaxed geometry, as listed in the Alexandria database. Values from VASP.

Values from the calculation:
Total moment ... 0.000 μB per atom
SG ... P-4m2
Energy relative to the elements, uncorrected ... -0.7653 eV per atom
DFT total energy ... -5.86 eV per atom

Quantum ESPRESSO input file:
```
&SYSTEM
  ibrav = 0, nat = 10, ntyp = 4
/
ATOMIC_SPECIES
Ac 227.00 Ac.upf
Cd 112.41 Cd.upf
Sb 121.76 Sb.upf
Rh 102.91 Rh.upf
CELL_PARAMETERS angstrom
-3.979 -1.283 -1.827
-1.728 -0.594 4.180
-3.384 10.385 0.076
ATOMIC_POSITIONS crystal
Ac 0.500 0.000 0.250
Ac 0.000 0.500 0.750
Cd 0.500 0.500 0.500
Sb 0.000 0.000 0.500
Sb 0.500 0.000 0.873
Sb 0.000 0.500 0.127
Rh 0.500 0.500 0.000
Rh 0.000 0.000 0.000
Rh 0.500 0.000 0.636
Rh 0.000 0.500 0.364
```

[3]
First-principles (PBE) data for crystalline Sm6C3ClO2 at its relaxed geometry, as listed in the Alexandria database. Values from VASP.

Values from the calculation:
Total moment ... 0.000 μB per atom
SG ... C2/m
Energy relative to the elements, uncorrected ... -1.3336 eV per atom
DFT total energy ... -6.98 eV per atom

Quantum ESPRESSO input file:
```
&SYSTEM
  ibrav = 0, nat = 12, ntyp = 4
/
ATOMIC_SPECIES
Sm 150.36 Sm.upf
C 12.01 C.upf
Cl 35.45 Cl.upf
O 16.00 O.upf
CELL_PARAMETERS angstrom
3.699 0.000 0.000
0.000 7.482 0.255
-1.849 -2.170 7.808
ATOMIC_POSITIONS crystal
Sm 0.322 0.914 0.645
Sm 0.667 0.588 0.334
Sm 0.678 0.086 0.355
Sm 0.997 0.279 0.995
Sm 0.003 0.721 0.005
Sm 0.333 0.412 0.666
C 0.500 0.500 0.000
C 0.834 0.168 0.668
C 0.166 0.832 0.332
Cl 0.500 0.000 0.000
O 0.829 0.663 0.658
O 0.171 0.337 0.342
```

[4]
First-principles (PBE) data for crystalline Sr3CuPt at its relaxed geometry, as listed in the Alexandria database. Values from VASP.

Values from the calculation:
Total moment ... 0.000 μB per atom
SG ... Pm-3m
Energy of formation from the pure elements ... -0.175 eV/atom
DFT total energy ... -3.21 eV per atom

Quantum ESPRESSO input file:
```
&SYSTEM
  ibrav = 0, nat = 5, ntyp = 3
/
ATOMIC_SPECIES
Sr 87.62 Sr.upf
Cu 63.55 Cu.upf
Pt 195.08 Pt.upf
CELL_PARAMETERS angstrom
-2.541 -3.242 -4.125
4.824 0.357 -3.252
2.062 -4.831 2.527
ATOMIC_POSITIONS crystal
Sr 0.000 0.500 0.000
Sr 0.000 0.000 0.500
Sr 0.500 0.000 0.000
Cu 0.500 0.500 0.500
Pt 0.000 0.000 0.000
```

[5]
First-principles (PBE) data for crystalline TaCo5B at its relaxed geometry, as listed in the Alexandria database. Values from VASP.

Values from the calculation:
Total moment ... 0.539 μB per atom
SG ... P4/mmm
Energy of formation from the pure elements ... -0.134 eV/atom
DFT total energy ... -7.86 eV per atom

Quantum ESPRESSO input file:
```
&SYSTEM
  ibrav = 0, nat = 7, ntyp = 3
/
ATOMIC_SPECIES
Ta 180.95 Ta.upf
Co 58.93 Co.upf
B 10.81 B.upf
CELL_PARAMETERS angstrom
-1.951 -1.475 -2.562
2.021 -2.906 0.134
-3.764 -2.422 4.259
ATOMIC_POSITIONS crystal
Ta 0.000 0.000 0.500
Co 0.000 0.500 0.809
Co 0.000 0.500 0.191
Co 0.500 0.000 0.809
Co 0.500 0.000 0.191
Co 0.500 0.500 0.500
B 0.500 0.500 0.000
```

[6]
First-principles (PBE) data for crystalline Ba2Tl4Pd3 at its relaxed geometry, as listed in the Alexandria database. Values from VASP.

Values from the calculation:
Total moment ... 0.000 μB per atom
SG ... Cmce
Energy of formation from the pure elements ... -0.354 eV/atom
DFT total energy ... -3.56 eV per atom

Quantum ESPRESSO input file:
```
&SYSTEM
  ibrav = 0, nat = 18, ntyp = 3
/
ATOMIC_SPECIES
Ba 137.33 Ba.upf
Tl 204.38 Tl.upf
Pd 106.42 Pd.upf
CELL_PARAMETERS angstrom
-5.373 0.440 -3.730
-4.874 -2.234 6.756
1.881 7.961 3.990
ATOMIC_POSITIONS crystal
Ba 0.116 0.600 0.232
Ba 0.884 0.400 0.768
Ba 0.384 0.100 0.768
Ba 0.616 0.900 0.232
Tl 0.689 0.750 0.878
Tl 0.811 0.250 0.122
Tl 0.311 0.250 0.122
Tl 0.189 0.750 0.878
Tl 0.184 0.989 0.368
Tl 0.816 0.011 0.632
Tl 0.316 0.489 0.632
Tl 0.684 0.511 0.368
Pd 0.000 0.000 0.000
Pd 0.500 0.500 0.000
Pd 0.520 0.750 0.541
Pd 0.980 0.250 0.459
Pd 0.480 0.250 0.459
Pd 0.020 0.750 0.541
```

- What is the formula in the first record?
  Mg3SiPt2